No. 1
First-principles (GGA-PBE) data for a geometry-optimized La2CrIr structure, as listed in Alexandria via LeMat-Bulk.

Values from the calculation:
Uncorrected energy, eV/atom: -7.231
Formation enthalpy at 0 K, meV/atom: -146
Theoretical density, g cm⁻³: 7.833
Symmetry: R3m
E above lowest polymorph, eV/atom: 0.008

Cell: 7.9017 7.9017 7.9017 Å, 30.21 30.21 30.21°
With the nearest neighbours (Å) after each atom.
Element x y z (fractional)
La 0.0329 0.0329 0.0329  3 Cr 3.03, 3 Ir 3.30
La 0.2170 0.2170 0.2170  3 Ir 3.03, 3 Cr 3.30
Cr 0.4491 0.4491 0.4491  3 Ir 2.41
Ir 0.8010 0.8010 0.8010  3 Cr 2.41

=====

No. 2
First-principles (GGA-PBE) data for a geometry-optimized LaCr2Ir structure, as listed in Alexandria via LeMat-Bulk.

Values from the calculation:
Uncorrected energy, eV/atom: -7.772
Formation enthalpy at 0 K, meV/atom: 487
Theoretical density, g cm⁻³: 11.190
Symmetry: Fm-3m
E above lowest polymorph, eV/atom: 0.311

Cell: 4.5032 4.5032 4.5032 Å, 60.00 60.00 60.00°
With the nearest neighbours (Å) after each atom.
Element x y z (fractional)
Cr 0.2500 0.2500 0.2500  4 Ir 2.76, 4 La 2.76
Cr 0.7500 0.7500 0.7500  4 Ir 2.76, 4 La 2.76
Ir 0.5000 0.5000 0.5000  8 Cr 2.76
La 0.0000 0.0000 0.0000  8 Cr 2.76

=====

No. 3
First-principles (GGA-PBE) data for a geometry-optimized La2CrIr structure, as listed in Alexandria via LeMat-Bulk.

Values from the calculation:
Uncorrected energy, eV/atom: -7.148
Formation enthalpy at 0 K, meV/atom: -63
Theoretical density, g cm⁻³: 8.930
Symmetry: P4/mmm
E above lowest polymorph, eV/atom: 0.091

Cell: 5.0797 5.0797 3.7622 Å, 90.00 90.00 89.96°
With the nearest neighbours (Å) after each atom.
Element x y z (fractional)
La 0.5000 0.5000 0.0000  4 Cr 3.16, 4 Ir 3.16
La 0.0000 0.0000 0.0000  4 Ir 3.16, 4 Cr 3.16
Ir 0.0000 0.5000 0.5000  8 La 3.16
Cr 0.5000 0.0000 0.5000  8 La 3.16

=====

- Which of these has the highest formation enthalpy at 0 K?
  LaCr2Ir

=====

- Which of these has the highest E above lowest polymorph?
  LaCr2Ir